HoZn3Cd9: optimized geometry, GGA-PBE.

Properties
Total magnetization   0.000 μB per formula unit
Energy of formation   -0.0762 eV per atom
DOS at the Fermi energy   2.27 states/eV/f.u.

abc: 7.426 7.426 7.398
angles: 98.48 98.48 134.32
Sites, in units of the cell vectors:
Ho: 0.000 0.000 0.000
Zn: 0.000 0.500 0.000
Zn: 0.500 0.000 0.000
Zn: 0.500 0.500 0.500
Cd: 0.000 0.000 0.500
Cd: 0.001 0.652 0.659
Cd: 0.294 0.512 0.788
Cd: 0.348 0.999 0.341
Cd: 0.488 0.706 0.212
Cd: 0.512 0.294 0.788
Cd: 0.652 0.001 0.659
Cd: 0.706 0.488 0.212
Cd: 0.999 0.348 0.341